Entry 1:
! PBE DyTlSnCl6, relaxed; values from VASP
! Raw formation energy   -1.603 eV per atom
! Symmetry   P312, No. 149
! Energy   -36.5 eV per formula unit
! Theoretical density   3.70 Mg/m³
&SYSTEM
  ibrav = 0, nat = 9, ntyp = 4
/
ATOMIC_SPECIES
Dy 162.50 Dy.upf
Tl 204.38 Tl.upf
Sn 118.71 Sn.upf
Cl 35.45 Cl.upf
CELL_PARAMETERS angstrom
-5.8671 4.2567 -0.4406
-4.8476 -1.0356 -5.3070
-3.4603 -4.3539 4.0105
ATOMIC_POSITIONS crystal
Dy 0.3333 0.3333 0.5000
Tl 0.0000 0.0000 0.0000
Sn 0.6666 0.6667 0.5000
Cl 0.0212 0.3567 0.2791
Cl 0.3567 0.0212 0.7209
Cl 0.6221 0.3567 0.7209
Cl 0.0212 0.6221 0.7209
Cl 0.3567 0.6221 0.2791
Cl 0.6220 0.0212 0.2791


Entry 2:
! PBE Tl2Zn2F7, relaxed; values from VASP
! Raw formation energy   -1.970 eV per atom
! Symmetry   C2/m, No. 12
! Energy   -42.0 eV per formula unit
! Theoretical density   5.13 Mg/m³
&SYSTEM
  ibrav = 0, nat = 11, ntyp = 3
/
ATOMIC_SPECIES
Tl 204.38 Tl.upf
Zn 65.41 Zn.upf
F 19.00 F.upf
CELL_PARAMETERS angstrom
-2.5803 -1.6945 -2.5146
4.2690 2.5363 -6.1220
1.6601 -7.0821 3.0370
ATOMIC_POSITIONS crystal
Tl 0.5000 0.6708 0.3292
Tl 0.5000 0.3292 0.6708
Zn 0.0025 0.2391 0.2391
Zn 0.9975 0.7609 0.7609
F 0.0020 0.4567 0.1775
F 0.9980 0.8225 0.5433
F 0.9980 0.5433 0.8225
F 0.0020 0.1775 0.4567
F 0.4984 0.6841 0.6841
F 0.0000 0.0000 0.0000
F 0.5016 0.3159 0.3159